A relaxed structure of SrLiBr2, computed with PBE-GGA.

Lattice parameters (Å, degrees): 4.424 3.896 8.396 90.00 102.15 90.00
Fractional positions:
Sr 0.000 0.000 0.000
Li 0.000 0.000 0.500
Br 0.120 0.500 0.303
Br 0.880 0.500 0.697

Properties
energy: -12.30 eV for the cell shown
ΔE_f (raw): -1339 meV/atom
density of states at the Fermi level: 1.330 states/eV/cell
energy relative to the lowest polymorph listed for this composition: 93.4 meV per atom

=====

A relaxed structure of Sr2LiBr, computed with PBE-GGA.

Lattice parameters (Å, degrees): 6.165 6.165 6.165 125.97 125.97 79.94
Fractional positions:
Sr 0.250 0.750 0.500
Sr 0.750 0.250 0.500
Li 0.000 0.000 0.000
Br 0.500 0.500 0.000

Properties
energy: -8.76 eV for the cell shown
ΔE_f (raw): -453 meV/atom
density of states at the Fermi level: 2.582 states/eV/cell
energy relative to the lowest polymorph listed for this composition: 218.8 meV per atom

=====

A relaxed structure of Sr2LiBr6, computed with PBE-GGA.

Lattice parameters (Å, degrees): 7.136 8.091 11.661 90.00 124.60 90.00
Fractional positions:
Sr 0.209 0.124 0.246
Sr 0.209 0.376 0.746
Sr 0.791 0.624 0.254
Sr 0.791 0.876 0.754
Li 0.500 0.000 0.000
Li 0.500 0.500 0.500
Br 0.124 0.159 0.937
Br 0.124 0.341 0.437
Br 0.278 0.683 0.943
Br 0.278 0.817 0.443
Br 0.380 0.026 0.739
Br 0.380 0.474 0.239
Br 0.620 0.526 0.761
Br 0.620 0.974 0.261
Br 0.722 0.183 0.557
Br 0.722 0.317 0.057
Br 0.876 0.659 0.563
Br 0.876 0.841 0.063

Properties
energy: -60.34 eV for the cell shown
ΔE_f (raw): -1651 meV/atom
density of states at the Fermi level: 17.455 states/eV/cell

=====

A relaxed structure of Sr2LiBr, computed with PBE-GGA.

Lattice parameters (Å, degrees): 7.535 7.535 7.535 149.12 135.78 54.91
Fractional positions:
Sr 0.000 0.000 0.000
Sr 0.720 0.220 0.500
Li 0.437 0.437 0.000
Br 0.197 0.697 0.500

Properties
energy: -9.22 eV for the cell shown
ΔE_f (raw): -568 meV/atom
density of states at the Fermi level: 1.680 states/eV/cell
energy relative to the lowest polymorph listed for this composition: 103.7 meV per atom

=====

A relaxed structure of SrLiBr2, computed with PBE-GGA.

Lattice parameters (Å, degrees): 9.119 9.119 9.119 29.35 29.35 29.35
Fractional positions:
Sr 0.000 0.000 0.000
Li 0.500 0.500 0.500
Br 0.394 0.394 0.394
Br 0.606 0.606 0.606

Properties
energy: -12.34 eV for the cell shown
ΔE_f (raw): -1349 meV/atom
density of states at the Fermi level: 1.859 states/eV/cell
energy relative to the lowest polymorph listed for this composition: 82.8 meV per atom

=====

A relaxed structure of SrLiBr2, computed with PBE-GGA.

Lattice parameters (Å, degrees): 7.972 7.972 7.972 151.26 149.75 42.21
Fractional positions:
Sr 0.000 0.000 0.000
Li 0.808 0.308 0.500
Br 0.333 0.833 0.500
Br 0.597 0.597 0.000

Properties
energy: -12.28 eV for the cell shown
ΔE_f (raw): -1335 meV/atom
density of states at the Fermi level: 1.569 states/eV/cell
energy relative to the lowest polymorph listed for this composition: 97.7 meV per atom

=====

A relaxed structure of Sr2LiBr, computed with PBE-GGA.

Lattice parameters (Å, degrees): 6.140 6.140 6.140 60.00 60.00 60.00
Fractional positions:
Sr 0.000 0.000 0.000
Sr 0.250 0.250 0.250
Li 0.750 0.750 0.750
Br 0.500 0.500 0.500

Properties
energy: -7.47 eV for the cell shown
ΔE_f (raw): -130 meV/atom
density of states at the Fermi level: 3.514 states/eV/cell
energy relative to the lowest polymorph listed for this composition: 541.4 meV per atom

=====

A relaxed structure of Sr2LiBr, computed with PBE-GGA.

Lattice parameters (Å, degrees): 6.967 6.967 6.967 144.43 118.21 73.38
Fractional positions:
Sr 0.209 0.209 0.000
Sr 0.791 0.791 0.000
Li 0.500 0.000 0.500
Br 0.000 0.500 0.500

Properties
energy: -9.23 eV for the cell shown
ΔE_f (raw): -569 meV/atom
density of states at the Fermi level: 2.417 states/eV/cell
energy relative to the lowest polymorph listed for this composition: 102.7 meV per atom